# 1
Compound: Pa4SiSe2S
Source: Alexandria
Functional: PBE
Structure: relaxed

abc: 4.067 6.736 7.186
angles: 109.97 90.00 90.00
Fractional coordinates of all 8 atoms:
Se 0.000 0.500 0.500
Se 0.500 0.000 0.500
S 0.000 0.000 0.000
Pa 0.500 0.236 0.231
Pa 0.000 0.247 0.763
Pa 0.500 0.764 0.769
Pa 0.000 0.753 0.237
Si 0.500 0.500 0.000

- Total magnetization: 0.00 μB per atom
- Formation energy without anion corrections: -9.2 eV per formula unit
- V: 185.02 Å³/cell

# 2
Compound: TbPaSeS
Source: Alexandria
Functional: PBE
Structure: relaxed

abc: 3.789 3.790 7.644
angles: 90.00 104.35 120.00
Fractional coordinates of all 4 atoms:
Se 0.971 0.383 0.370
Tb 0.484 0.140 0.640
S 0.300 0.548 0.864
Pa 0.122 0.959 0.097

- Total magnetization: 0.24 μB per atom
- Formation energy without anion corrections: -6.3 eV per formula unit
- V: 91.09 Å³/cell

# 3
Compound: Pa4TcSe2S
Source: Alexandria
Functional: PBE
Structure: relaxed

abc: 3.882 7.153 6.980
angles: 72.36 90.00 90.00
Fractional coordinates of all 8 atoms:
Pa 0.500 0.275 0.739
Pa 0.000 0.272 0.245
Pa 0.500 0.725 0.261
Pa 0.000 0.728 0.755
S 0.500 0.500 0.000
Tc 0.000 0.500 0.500
Se 0.000 0.000 0.000
Se 0.500 0.000 0.500

- Total magnetization: 0.00 μB per atom
- Formation energy without anion corrections: -8.3 eV per formula unit
- V: 184.70 Å³/cell

# 4
Compound: PaTlSeS
Source: Alexandria
Functional: PBE
Structure: relaxed

abc: 3.965 3.967 8.662
angles: 90.02 103.18 120.01
Fractional coordinates of all 4 atoms:
Pa 0.296 0.546 0.857
Tl 0.972 0.385 0.372
Se 0.103 0.950 0.068
S 0.507 0.151 0.673

- Total magnetization: 0.40 μB per atom
- Formation energy without anion corrections: -4.1 eV per formula unit
- V: 113.81 Å³/cell

# 5
Compound: TmPaSeS
Source: Alexandria
Functional: PBE
Structure: relaxed

abc: 3.716 3.709 7.663
angles: 89.99 104.12 119.94
Fractional coordinates of all 4 atoms:
S 0.296 0.546 0.858
Tm 0.484 0.140 0.638
Pa 0.123 0.960 0.098
Se 0.975 0.385 0.376

- Total magnetization: 0.00 μB per atom
- Formation energy without anion corrections: -6.1 eV per formula unit
- V: 87.82 Å³/cell

# 6
Compound: PaW2Se4S2
Source: Alexandria
Functional: PBE
Structure: relaxed

abc: 3.461 3.461 21.478
angles: 90.00 90.00 120.00
Fractional coordinates of all 9 atoms:
Pa 0.000 0.000 0.324
Se 0.000 0.000 0.730
Se 0.667 0.333 0.905
Se 0.667 0.333 0.058
Se 0.000 0.000 0.577
W 0.000 0.000 0.982
W 0.667 0.333 0.653
S 0.667 0.333 0.242
S 0.667 0.333 0.406

- Total magnetization: 0.00 μB per atom
- Formation energy without anion corrections: -6.7 eV per formula unit
- V: 222.86 Å³/cell

Which calculated total energy belongs to each record? In order, -7.96, -7.00, -8.47, -5.90, -6.93, -7.14 eV/atom.